No. 1
5
Lattice="-3.0737 -1.7220 -4.1737 3.0961 -4.4789 -0.4321 -3.2863 -2.6090 3.4966" Properties=species:S:1:pos:R:3 comment="PBE-GGA InCBr3, optimized geometry" sg="No. 221" final_energy_ev_per_atom=-2.33 pbc="T T T"
C -1.6320 -4.4050 -0.5546
Br -1.5369 -0.8610 -2.0869
Br 1.5480 -2.2395 -0.2161
Br -1.6431 -1.3045 1.7483
In 0.0000 0.0000 0.0000

No. 2
15
Lattice="6.1271 0.0000 0.0000 -3.0636 5.3063 0.0000 0.0000 0.0000 7.7936" Properties=species:S:1:pos:R:3 comment="PBE-GGA Pr3ZnB2Rh9, optimized geometry" sg="No. 164" final_energy_ev_per_atom=-6.86 formation_energy_mev_per_atom=-515 pbc="T T T"
Rh 1.5318 2.6531 0.0000
Rh 1.4385 4.3680 2.3675
Rh 1.6251 0.9382 5.4261
Rh 3.0636 3.4298 5.4261
Rh 4.5021 0.9382 5.4261
Rh -1.4385 4.3680 2.3675
Rh 3.0636 0.0000 0.0000
Rh 0.0000 1.8765 2.3675
Rh -1.5318 2.6531 0.0000
B 0.0000 3.5375 1.1501
B 3.0636 1.7688 6.6434
Zn 0.0000 0.0000 3.8968
Pr 0.0000 3.5375 5.1083
Pr 3.0636 1.7688 2.6853
Pr 0.0000 0.0000 0.0000

No. 3
4
Lattice="-0.3876 -1.3805 -2.0482 -1.3809 -1.5978 1.3383 -4.8101 3.1446 -1.2091" Properties=species:S:1:pos:R:3 comment="PBE-GGA CrFe2H, optimized geometry" sg="No. 123" final_energy_ev_per_atom=-7.17 pbc="T T T"
Fe -3.8665 2.5277 -0.9719
Fe -0.9436 0.6169 -0.2372
Cr -3.2893 0.0831 -0.9595
H -0.8843 -1.4891 -0.3549

> Number 1 is which compound?

InCBr3